P | Compound: ErMg2Hg5
Source: Alexandria
Functional: GGA-PBE
Structure: optimized geometry

Cell lengths 8.3113, 8.3113, 8.3113 Å; angles 124.36, 124.36, 82.59 degrees
Last column: nearest neighbours and their distance in Å.
Positions (direct):
Er  0.2500  0.2500  0.0000  10 Hg 3.12-3.19
Er  0.7500  0.7500  0.0000  10 Hg 3.12-3.19
Mg  0.1511  0.6511  0.8022  8 Hg 2.93-3.03
Mg  0.3489  0.1511  0.5000  8 Hg 2.93-3.03
Mg  0.6511  0.8489  0.5000  8 Hg 2.93-3.03
Mg  0.8489  0.3489  0.1978  8 Hg 2.93-3.03
Hg  0.0000  0.0000  0.0000  4 Mg 2.95, 2 Er 3.12
Hg  0.0070  0.8039  0.5000  3 Mg 2.93-3.03, 2 Er 3.19, 2 Hg 3.25-3.26
Hg  0.1961  0.6961  0.2032  3 Mg 2.93-3.03, 2 Er 3.19, 2 Hg 3.25-3.26
Hg  0.3039  0.5070  0.5000  3 Mg 2.93-3.03, 2 Er 3.19, 2 Hg 3.25-3.26
Hg  0.4930  0.9930  0.7968  3 Mg 2.93-3.03, 2 Er 3.19, 2 Hg 3.25-3.26
Hg  0.5000  0.5000  0.0000  4 Mg 2.95, 2 Er 3.12
Hg  0.5070  0.0070  0.2032  3 Mg 2.93-3.03, 2 Er 3.19, 2 Hg 3.25-3.26
Hg  0.6961  0.4930  0.5000  3 Mg 2.93-3.03, 2 Er 3.19, 2 Hg 3.25-3.26
Hg  0.8039  0.3039  0.7968  3 Mg 2.93-3.03, 2 Er 3.19, 2 Hg 3.25-3.26
Hg  0.9930  0.1961  0.5000  3 Mg 2.93-3.03, 2 Er 3.19, 2 Hg 3.25-3.26

Properties
symmetry = I4/mcm (140)

Q | Compound: ErMg2Hg5
Source: Alexandria
Functional: GGA-PBE
Structure: optimized geometry

Cell lengths 4.7643, 4.7643, 15.9851 Å; angles 90.00, 90.00, 90.00 degrees
Last column: nearest neighbours and their distance in Å.
Positions (direct):
Er  0.0000  0.0000  0.0000  12 Hg 3.21-3.37
Er  0.5000  0.5000  0.5000  12 Hg 3.21-3.37
Mg  0.0000  0.0000  0.2445  8 Hg 2.96-3.07
Mg  0.0000  0.0000  0.7555  8 Hg 2.96-3.07
Mg  0.5000  0.5000  0.2555  8 Hg 2.96-3.07
Mg  0.5000  0.5000  0.7445  8 Hg 2.96-3.07
Hg  0.0000  0.0000  0.5000  8 Hg 3.21, 4 Er 3.37
Hg  0.0000  0.5000  0.1346  4 Mg 2.96-3.07, 2 Hg 3.21, 2 Er 3.21
Hg  0.0000  0.5000  0.3654  4 Mg 2.96-3.07, 2 Hg 3.21, 2 Er 3.21
Hg  0.0000  0.5000  0.6346  4 Mg 2.96-3.07, 2 Hg 3.21, 2 Er 3.21
Hg  0.0000  0.5000  0.8654  4 Mg 2.96-3.07, 2 Hg 3.21, 2 Er 3.21
Hg  0.5000  0.0000  0.1346  4 Mg 2.96-3.07, 2 Hg 3.21, 2 Er 3.21
Hg  0.5000  0.0000  0.3654  4 Mg 2.96-3.07, 2 Hg 3.21, 2 Er 3.21
Hg  0.5000  0.0000  0.6346  4 Mg 2.96-3.07, 2 Hg 3.21, 2 Er 3.21
Hg  0.5000  0.0000  0.8654  4 Mg 2.96-3.07, 2 Hg 3.21, 2 Er 3.21
Hg  0.5000  0.5000  0.0000  8 Hg 3.21, 4 Er 3.37

Properties
symmetry = I4/mmm (139)

Bottom line: Q, by a margin of 31 meV/atom.

P | Compound: NdErMgHg
Source: Alexandria
Functional: GGA-PBE
Structure: optimized geometry

Cell lengths 7.5767, 7.5767, 7.5767 Å; angles 90.00, 90.00, 90.00 degrees
Last column: nearest neighbours and their distance in Å.
Positions (direct):
Nd  0.0000  0.0000  0.0000  4 Hg 3.28, 4 Mg 3.28
Nd  0.0000  0.5000  0.5000  4 Hg 3.28, 4 Mg 3.28
Nd  0.5000  0.0000  0.5000  4 Hg 3.28, 4 Mg 3.28
Nd  0.5000  0.5000  0.0000  4 Hg 3.28, 4 Mg 3.28
Er  0.0000  0.0000  0.5000  4 Hg 3.28, 4 Mg 3.28
Er  0.0000  0.5000  0.0000  4 Hg 3.28, 4 Mg 3.28
Er  0.5000  0.0000  0.0000  4 Hg 3.28, 4 Mg 3.28
Er  0.5000  0.5000  0.5000  4 Hg 3.28, 4 Mg 3.28
Mg  0.2500  0.2500  0.7500  4 Er 3.28, 4 Nd 3.28
Mg  0.2500  0.7500  0.2500  4 Er 3.28, 4 Nd 3.28
Mg  0.7500  0.2500  0.2500  4 Er 3.28, 4 Nd 3.28
Mg  0.7500  0.7500  0.7500  4 Er 3.28, 4 Nd 3.28
Hg  0.2500  0.2500  0.2500  4 Er 3.28, 4 Nd 3.28
Hg  0.2500  0.7500  0.7500  4 Er 3.28, 4 Nd 3.28
Hg  0.7500  0.2500  0.7500  4 Er 3.28, 4 Nd 3.28
Hg  0.7500  0.7500  0.2500  4 Er 3.28, 4 Nd 3.28

Properties
symmetry = F-43m (216)

Q | Compound: NdErMgHg
Source: Alexandria
Functional: GGA-PBE
Structure: optimized geometry

Cell lengths 3.7730, 3.7730, 7.6439 Å; angles 90.00, 90.00, 90.00 degrees
Last column: nearest neighbours and their distance in Å.
Positions (direct):
Nd  0.0000  0.0000  0.0000  4 Mg 3.35, 4 Hg 3.38
Er  0.0000  0.0000  0.4927  4 Hg 3.16, 4 Mg 3.24
Mg  0.5000  0.5000  0.7340  4 Er 3.24, 4 Nd 3.35, 1 Hg 3.53
Hg  0.5000  0.5000  0.2722  4 Er 3.16, 4 Nd 3.38, 1 Mg 3.53

Properties
symmetry = P4mm (99)

Bottom line: Q, by a margin of 21 meV/atom.

P | Compound: PmErMgHg
Source: Alexandria
Functional: GGA-PBE
Structure: optimized geometry

Cell lengths 7.5516, 7.5516, 7.5516 Å; angles 90.00, 90.00, 90.00 degrees
Last column: nearest neighbours and their distance in Å.
Positions (direct):
Pm  0.0000  0.0000  0.0000  4 Hg 3.27, 4 Mg 3.27
Pm  0.0000  0.5000  0.5000  4 Hg 3.27, 4 Mg 3.27
Pm  0.5000  0.0000  0.5000  4 Hg 3.27, 4 Mg 3.27
Pm  0.5000  0.5000  0.0000  4 Hg 3.27, 4 Mg 3.27
Er  0.0000  0.0000  0.5000  4 Hg 3.27, 4 Mg 3.27
Er  0.0000  0.5000  0.0000  4 Hg 3.27, 4 Mg 3.27
Er  0.5000  0.0000  0.0000  4 Hg 3.27, 4 Mg 3.27
Er  0.5000  0.5000  0.5000  4 Hg 3.27, 4 Mg 3.27
Mg  0.2500  0.2500  0.7500  4 Er 3.27, 4 Pm 3.27
Mg  0.2500  0.7500  0.2500  4 Er 3.27, 4 Pm 3.27
Mg  0.7500  0.2500  0.2500  4 Er 3.27, 4 Pm 3.27
Mg  0.7500  0.7500  0.7500  4 Er 3.27, 4 Pm 3.27
Hg  0.2500  0.2500  0.2500  4 Er 3.27, 4 Pm 3.27
Hg  0.2500  0.7500  0.7500  4 Er 3.27, 4 Pm 3.27
Hg  0.7500  0.2500  0.7500  4 Er 3.27, 4 Pm 3.27
Hg  0.7500  0.7500  0.2500  4 Er 3.27, 4 Pm 3.27

Properties
symmetry = F-43m (216)

Q | Compound: PmErMgHg
Source: Alexandria
Functional: GGA-PBE
Structure: optimized geometry

Cell lengths 3.7762, 3.7762, 7.5513 Å; angles 90.00, 90.00, 90.00 degrees
Last column: nearest neighbours and their distance in Å.
Positions (direct):
Pm  0.0000  0.0000  0.0000  4 Mg 3.33, 4 Hg 3.35, 1 Er 3.72
Er  0.0000  0.0000  0.4932  4 Hg 3.17, 4 Mg 3.24
Mg  0.5000  0.5000  0.7362  4 Er 3.24, 4 Pm 3.33, 1 Hg 3.54
Hg  0.5000  0.5000  0.2674  4 Er 3.17, 4 Pm 3.35, 1 Mg 3.54

Properties
symmetry = P4mm (99)

Bottom line: Q, by a margin of 19 meV/atom.

P | Compound: ErMgScHg
Source: Alexandria
Functional: GGA-PBE
Structure: optimized geometry

Cell lengths 3.6687, 3.6687, 7.1314 Å; angles 90.00, 90.00, 90.00 degrees
Last column: nearest neighbours and their distance in Å.
Positions (direct):
Er  0.0000  0.0000  0.0000  4 Hg 3.20, 4 Mg 3.24, 1 Sc 3.51
Mg  0.5000  0.5000  0.2732  4 Sc 3.09, 4 Er 3.24, 1 Hg 3.31
Sc  0.0000  0.0000  0.5085  4 Hg 3.07, 4 Mg 3.09
Hg  0.5000  0.5000  0.7375  4 Sc 3.07, 4 Er 3.20, 1 Mg 3.31

Properties
symmetry = P4mm (99)

Q | Compound: ErMgScHg
Source: Alexandria
Functional: GGA-PBE
Structure: optimized geometry

Cell lengths 7.2519, 7.2519, 7.2519 Å; angles 90.00, 90.00, 90.00 degrees
Last column: nearest neighbours and their distance in Å.
Positions (direct):
Er  0.0000  0.0000  0.0000  4 Hg 3.14, 4 Mg 3.14
Er  0.0000  0.5000  0.5000  4 Mg 3.14, 4 Hg 3.14
Er  0.5000  0.0000  0.5000  4 Mg 3.14, 4 Hg 3.14
Er  0.5000  0.5000  0.0000  4 Mg 3.14, 4 Hg 3.14
Mg  0.2500  0.2500  0.2500  4 Er 3.14, 4 Sc 3.14
Mg  0.2500  0.7500  0.7500  4 Er 3.14, 4 Sc 3.14
Mg  0.7500  0.2500  0.7500  4 Er 3.14, 4 Sc 3.14
Mg  0.7500  0.7500  0.2500  4 Er 3.14, 4 Sc 3.14
Sc  0.0000  0.0000  0.5000  4 Hg 3.14, 4 Mg 3.14
Sc  0.0000  0.5000  0.0000  4 Hg 3.14, 4 Mg 3.14
Sc  0.5000  0.0000  0.0000  4 Hg 3.14, 4 Mg 3.14
Sc  0.5000  0.5000  0.5000  4 Hg 3.14, 4 Mg 3.14
Hg  0.2500  0.2500  0.7500  4 Er 3.14, 4 Sc 3.14
Hg  0.2500  0.7500  0.2500  4 Er 3.14, 4 Sc 3.14
Hg  0.7500  0.2500  0.2500  4 Er 3.14, 4 Sc 3.14
Hg  0.7500  0.7500  0.7500  4 Sc 3.14, 4 Er 3.14

Properties
symmetry = F-43m (216)

Bottom line: P, by a margin of 14 meV/atom.

P | Compound: NaErHg
Source: Alexandria
Functional: GGA-PBE
Structure: optimized geometry

Cell lengths 9.2306, 9.2306, 9.2306 Å; angles 31.25, 31.25, 31.25 degrees
Last column: nearest neighbours and their distance in Å.
Positions (direct):
Na  0.1326  0.1326  0.1326  4 Hg 3.25-3.32, 3 Na 3.39
Na  0.8674  0.8674  0.8674  4 Hg 3.25-3.32, 3 Na 3.39
Er  0.3745  0.3745  0.3745  4 Hg 3.00-3.05
Er  0.6255  0.6255  0.6255  4 Hg 3.00-3.05
Hg  0.2585  0.2585  0.2585  4 Er 3.00-3.05, 4 Na 3.25-3.32
Hg  0.7415  0.7415  0.7415  4 Er 3.00-3.05, 4 Na 3.25-3.32

Properties
symmetry = R-3m (166)

Q | Compound: NaErHg
Source: Alexandria
Functional: GGA-PBE
Structure: optimized geometry

Cell lengths 3.6864, 3.6864, 13.0416 Å; angles 90.00, 90.00, 90.00 degrees
Last column: nearest neighbours and their distance in Å.
Positions (direct):
Na  0.0000  0.0000  0.0000  4 Hg 3.35, 1 Er 3.65, 4 Na 3.69
Na  0.5000  0.5000  0.5000  4 Hg 3.35, 1 Er 3.65, 4 Na 3.69
Er  0.0000  0.0000  0.2796  4 Hg 3.03
Er  0.5000  0.5000  0.7796  4 Hg 3.03
Hg  0.0000  0.0000  0.6611  4 Er 3.03, 4 Na 3.35
Hg  0.5000  0.5000  0.1611  4 Er 3.03, 4 Na 3.35

Properties
symmetry = I4mm (107)

Bottom line: Q, by a margin of 73 meV/atom.

P | Compound: NdEr3Hg2
Source: Alexandria
Functional: GGA-PBE
Structure: optimized geometry

Cell lengths 5.0814, 9.2559, 7.1568 Å; angles 90.00, 90.00, 90.00 degrees
Last column: nearest neighbours and their distance in Å.
Positions (direct):
Nd  0.0000  0.0573  0.0000  3 Hg 3.20-3.26, 1 Er 3.55
Nd  0.0000  0.9427  0.5000  3 Hg 3.20-3.26, 1 Er 3.55
Er  0.0000  0.3289  0.6506  4 Hg 2.97-3.10
Er  0.0000  0.6711  0.1506  4 Hg 2.97-3.10
Er  0.5000  0.1808  0.3181  4 Hg 3.04-3.11
Er  0.5000  0.4423  0.9678  3 Hg 3.16-3.25, 1 Er 3.48
Er  0.5000  0.5577  0.4678  3 Hg 3.16-3.25, 1 Er 3.48
Er  0.5000  0.8192  0.8181  4 Hg 3.04-3.11
Hg  0.0000  0.3554  0.2274  6 Er 2.97-3.25, 1 Nd 3.20
Hg  0.0000  0.6446  0.7274  6 Er 2.97-3.25, 1 Nd 3.20
Hg  0.5000  0.1502  0.7404  5 Er 3.04-3.16, 2 Nd 3.26
Hg  0.5000  0.8498  0.2404  5 Er 3.04-3.16, 2 Nd 3.26

Properties
symmetry = Pmc2_1 (26)

Q | Compound: NdEr3Hg2
Source: Alexandria
Functional: GGA-PBE
Structure: optimized geometry

Cell lengths 8.4413, 8.4413, 8.8625 Å; angles 113.95, 113.95, 36.80 degrees
Last column: nearest neighbours and their distance in Å.
Positions (direct):
Nd  0.1325  0.1325  0.1872  5 Hg 3.27-3.46, 3 Er 3.50-3.56
Nd  0.8675  0.8675  0.8128  5 Hg 3.27-3.46, 3 Er 3.50-3.56
Er  0.0641  0.0641  0.7238  3 Hg 3.15-3.22, 2 Er 3.49
Er  0.3065  0.3065  0.0019  2 Hg 2.95-3.14, 2 Er 3.21
Er  0.3817  0.3817  0.4720  4 Hg 2.90-3.22
Er  0.6183  0.6183  0.5280  4 Hg 2.90-3.22
Er  0.6935  0.6935  0.9981  2 Hg 2.95-3.14, 2 Er 3.21
Er  0.9359  0.9359  0.2762  3 Hg 3.15-3.22, 2 Er 3.49
Hg  0.2256  0.2256  0.6102  5 Er 3.08-3.22, 1 Nd 3.39
Hg  0.4902  0.4902  0.8305  1 Hg 2.88, 4 Er 2.90-3.22
Hg  0.5098  0.5098  0.1695  1 Hg 2.88, 4 Er 2.90-3.22
Hg  0.7744  0.7744  0.3898  5 Er 3.08-3.22, 1 Nd 3.39

Properties
symmetry = C2/m (12)

Bottom line: P, by a margin of 94 meV/atom.

P | Compound: NdEr3Hg4
Source: Alexandria
Functional: GGA-PBE
Structure: optimized geometry

Cell lengths 14.5353, 5.2709, 5.9691 Å; angles 90.00, 109.22, 90.00 degrees
Last column: nearest neighbours and their distance in Å.
Positions (direct):
Nd  0.0000  0.0000  0.0000  4 Hg 3.12-3.47
Nd  0.5000  0.5000  0.0000  4 Hg 3.12-3.47
Er  0.0000  0.5000  0.5000  4 Hg 3.07
Er  0.1725  0.5000  0.0812  5 Hg 3.02-3.31
Er  0.3275  0.0000  0.9188  5 Hg 3.02-3.31
Er  0.5000  0.0000  0.5000  4 Hg 3.07
Er  0.6725  0.0000  0.0812  5 Hg 3.02-3.31
Er  0.8275  0.5000  0.9188  5 Hg 3.02-3.31
Hg  0.1128  0.0000  0.6373  3 Er 3.02-3.07, 4 Hg 3.07-3.31, 1 Nd 3.12
Hg  0.2461  0.0000  0.3318  4 Er 3.05-3.31, 5 Hg 3.07-3.31
Hg  0.2539  0.5000  0.6682  4 Er 3.05-3.31, 5 Hg 3.07-3.31
Hg  0.3872  0.5000  0.3627  3 Er 3.02-3.07, 4 Hg 3.07-3.31, 1 Nd 3.12
Hg  0.6128  0.5000  0.6373  3 Er 3.02-3.07, 4 Hg 3.07-3.31, 1 Nd 3.12
Hg  0.7461  0.5000  0.3318  4 Er 3.05-3.31, 5 Hg 3.07-3.31
Hg  0.7539  0.0000  0.6682  4 Er 3.05-3.31, 5 Hg 3.07-3.31
Hg  0.8872  0.0000  0.3627  3 Er 3.02-3.07, 4 Hg 3.07-3.31, 1 Nd 3.12

Properties
symmetry = C2/m (12)

Q | Compound: NdEr3Hg4
Source: Alexandria
Functional: GGA-PBE
Structure: optimized geometry

Cell lengths 5.2304, 5.2304, 7.5841 Å; angles 90.00, 90.00, 90.00 degrees
Last column: nearest neighbours and their distance in Å.
Positions (direct):
Nd  0.0000  0.0000  0.0000  8 Hg 3.29
Er  0.0000  0.0000  0.5000  8 Hg 3.18
Er  0.5000  0.5000  0.0000  8 Hg 3.29
Er  0.5000  0.5000  0.5000  8 Hg 3.18
Hg  0.0000  0.5000  0.2622  6 Er 3.18-3.29, 2 Nd 3.29
Hg  0.0000  0.5000  0.7378  6 Er 3.18-3.29, 2 Nd 3.29
Hg  0.5000  0.0000  0.2622  6 Er 3.18-3.29, 2 Nd 3.29
Hg  0.5000  0.0000  0.7378  6 Er 3.18-3.29, 2 Nd 3.29

Properties
symmetry = P4/mmm (123)

Bottom line: Q, by a margin of 187 meV/atom.

P | Compound: Nd2ErHg
Source: Alexandria
Functional: GGA-PBE
Structure: optimized geometry

Cell lengths 3.6697, 3.6697, 32.5505 Å; angles 90.00, 90.00, 120.00 degrees
Last column: nearest neighbours and their distance in Å.
Positions (direct):
Nd  0.0000  0.0000  0.2445  3 Hg 3.30, 3 Er 3.58, 6 Nd 3.67
Nd  0.0000  0.0000  0.7555  3 Hg 3.30, 3 Er 3.58, 6 Nd 3.67
Nd  0.3333  0.6667  0.4221  3 Hg 3.30, 3 Er 3.58, 6 Nd 3.67
Nd  0.3333  0.6667  0.9112  3 Hg 3.30, 3 Er 3.58, 6 Nd 3.67
Nd  0.6667  0.3333  0.0888  3 Hg 3.30, 3 Er 3.58, 6 Nd 3.67
Nd  0.6667  0.3333  0.5779  3 Hg 3.30, 3 Er 3.58, 6 Nd 3.67
Er  0.0000  0.0000  0.0000  6 Nd 3.58, 6 Er 3.67
Er  0.3333  0.6667  0.6667  6 Nd 3.58, 6 Er 3.67
Er  0.6667  0.3333  0.3333  6 Nd 3.58, 6 Er 3.67
Hg  0.0000  0.0000  0.5000  6 Nd 3.30, 6 Hg 3.67
Hg  0.3333  0.6667  0.1667  6 Nd 3.30, 6 Hg 3.67
Hg  0.6667  0.3333  0.8333  6 Nd 3.30, 6 Hg 3.67

Properties
symmetry = R-3m (166)

Q | Compound: Nd2ErHg
Source: Alexandria
Functional: GGA-PBE
Structure: optimized geometry

Cell lengths 5.2142, 5.2142, 8.9410 Å; angles 90.00, 90.00, 90.00 degrees
Last column: nearest neighbours and their distance in Å.
Positions (direct):
Nd  0.2500  0.2500  0.2210  4 Hg 3.27, 4 Nd 3.61
Nd  0.2500  0.7500  0.5000  8 Nd 3.61-3.69, 4 Er 3.64
Nd  0.7500  0.2500  0.5000  8 Nd 3.61-3.69, 4 Er 3.64
Nd  0.7500  0.7500  0.7790  4 Hg 3.27, 4 Nd 3.61
Er  0.2500  0.2500  0.7844  4 Hg 3.24
Er  0.7500  0.7500  0.2156  4 Hg 3.24
Hg  0.2500  0.7500  0.0000  4 Er 3.24, 4 Nd 3.27
Hg  0.7500  0.2500  0.0000  4 Er 3.24, 4 Nd 3.27

Properties
symmetry = P4/nmm (129)

Bottom line: Q, by a margin of 101 meV/atom.